Computed, not measured: crystalline TbYPaO6 at its relaxed geometry at the PBE-GGA level of DFT.

Computed properties:
E_form (uncorrected): -3.205 eV per atom
E_tot: -8.799 eV per atom
Crystal system: trigonal

abc: 4.6734 5.8122 5.8122
angles: 120.00 90.00 90.00
Fractional positions:
O: 0.2544 0.0148 0.6658
O: 0.2544 0.3342 0.3490
O: 0.2544 0.6510 0.9852
O: 0.7456 0.3342 0.9852
O: 0.7456 0.0148 0.3490
O: 0.7456 0.6510 0.6658
Tb: 0.5000 0.0000 0.0000
Pa: 0.0000 0.3333 0.6667
Y: 0.5000 0.6667 0.3333